--- A ---
K2Pb2W | PBE | optimized geometry

a = 10.3054 Å, b = 10.3054 Å, c = 3.0578 Å
α = 90.00°, β = 90.00°, γ = 90.00°
Last column: nearest neighbours and their distance in Å.
Space group P4/mbm (No. 127)
Asymmetric unit:
K1 0.1212 0.3788 0.0000 (multiplicity 4)  2 K 3.06, 2 Pb 3.29
Pb1 0.1791 0.6791 0.5000 (multiplicity 4)  2 Pb 3.06, 2 K 3.29
W1 0.0000 0.0000 0.0000 (multiplicity 2)  2 W 3.06

***

--- B ---
K2Pb2W | PBE | optimized geometry

a = 4.4382 Å, b = 4.4382 Å, c = 20.9744 Å
α = 90.00°, β = 90.00°, γ = 90.00°
Last column: nearest neighbours and their distance in Å.
Space group I4/mmm (No. 139)
Asymmetric unit:
K1 0.0000 0.0000 0.0982 (multiplicity 4)  4 W 3.75, 4 Pb 3.88, 1 K 4.12
Pb1 0.0000 0.5000 0.2500 (multiplicity 4)  4 Pb 3.14
W1 0.0000 0.0000 0.5000 (multiplicity 2)  8 K 3.75

***

Most stable structure - A; separation to the second - 1.2 kJ/mol of atoms.

***

--- A ---
KPb3W | PBE | optimized geometry

a = 5.6851 Å, b = 5.6851 Å, c = 5.6851 Å
α = 90.00°, β = 90.00°, γ = 90.00°
Last column: nearest neighbours and their distance in Å.
Space group Pm-3m (No. 221)
Asymmetric unit:
K1 0.0000 0.0000 0.0000 (multiplicity 1)  6 Pb 2.84
Pb1 0.0000 0.0000 0.5000 (multiplicity 3)  2 K 2.84
W1 0.5000 0.5000 0.5000 (multiplicity 1)  12 Pb 4.02

***

--- B ---
KPb3W | PBE | optimized geometry

a = 5.4956 Å, b = 5.4956 Å, c = 5.4956 Å
α = 90.00°, β = 90.00°, γ = 90.00°
Last column: nearest neighbours and their distance in Å.
Space group Pm-3m (No. 221)
Asymmetric unit:
K1 0.0000 0.0000 0.0000 (multiplicity 1)  12 Pb 3.89
Pb1 0.0000 0.5000 0.5000 (multiplicity 3)  2 W 2.75
W1 0.5000 0.5000 0.5000 (multiplicity 1)  6 Pb 2.75

***

Most stable structure - B; separation to the second - 187.7 kJ/mol of atoms.

***

--- A ---
KYPb2 | PBE | optimized geometry

a = 4.3967 Å, b = 4.3967 Å, c = 7.2652 Å
α = 90.00°, β = 90.00°, γ = 90.00°
Last column: nearest neighbours and their distance in Å.
Space group P4mm (No. 99)
Asymmetric unit:
K1 0.0000 0.0000 0.0000 (multiplicity 1)  6 Pb 3.58-3.66, 4 Y 4.00
Y1 0.5000 0.5000 0.6544 (multiplicity 1)  5 Pb 2.99-3.30
Pb1 0.0000 0.0000 0.5031 (multiplicity 1)  4 Y 3.30, 2 K 3.61-3.66, 4 Pb 3.64
Pb2 0.5000 0.5000 0.2432 (multiplicity 1)  1 Y 2.99

***

--- B ---
KYPb2 | PBE | optimized geometry

a = 5.1008 Å, b = 5.1008 Å, c = 9.4524 Å
α = 90.00°, β = 90.00°, γ = 90.00°
Last column: nearest neighbours and their distance in Å.
Space group I4/mmm (No. 139)
Asymmetric unit:
K1 0.0000 0.0000 0.0000 (multiplicity 2)  8 Pb 3.48, 4 Y 3.61
Y1 0.0000 0.0000 0.5000 (multiplicity 2)  8 Pb 3.48, 4 K 3.61
Pb1 0.0000 0.5000 0.2500 (multiplicity 4)  4 K 3.48, 4 Y 3.48, 4 Pb 3.61

***

Most stable structure - B; separation to the second - 19.1 kJ/mol of atoms.